## one
A relaxed ZnHgTe2N crystal, computed with PBE-GGA.

Calculated values
V = 125.1 Å³/cell
magnetic moment = 1.9 μB per formula unit

a b c (Å): 5.9219 5.9219 3.5670
angles (deg): 90.00 90.00 90.00
Site moments in Bohr magnetons follow the coordinates.
Atoms (fractional coordinates):
Zn1 0.0000 0.0000 0.0000  0.08
Te1 0.5000 0.0000 0.0000  0.18
Te2 0.0000 0.5000 0.0000  0.18
N1 0.0000 0.0000 0.5000  0.90
Hg1 0.5000 0.5000 0.5000  -0.01



## two
A relaxed ZnHgTe2N crystal, computed with PBE-GGA.

Calculated values
V = 138.3 Å³/cell
magnetic moment = 1.7 μB per formula unit

a b c (Å): 5.8756 5.8756 4.0061
angles (deg): 90.00 90.00 90.00
Site moments in Bohr magnetons follow the coordinates.
Atoms (fractional coordinates):
Hg1 0.0000 0.0000 0.0000  0.06
Zn1 0.5000 0.5000 0.5000  -0.02
Te1 0.5000 0.0000 0.0000  0.12
N1 0.0000 0.0000 0.5000  0.91
Te2 0.0000 0.5000 0.0000  0.12



Referenced to the most stable arrangement, the calculated values in meV/atom are one 0; two 453.



## one
A relaxed ZrHgTe2N crystal, computed with PBE-GGA.

Calculated values
V = 131.5 Å³/cell
magnetic moment = 2.8 μB per formula unit

a b c (Å): 5.7146 5.7146 4.0280
angles (deg): 90.00 90.00 90.00
Site moments in Bohr magnetons follow the coordinates.
Atoms (fractional coordinates):
Te1 0.5000 0.0000 0.0000  0.03
N1 0.0000 0.0000 0.5000  0.86
Zr1 0.5000 0.5000 0.5000  0.91
Te2 0.0000 0.5000 0.0000  0.03
Hg1 0.0000 0.0000 0.0000  0.06



## two
A relaxed ZrHgTe2N crystal, computed with PBE-GGA.

Calculated values
V = 137.7 Å³/cell
magnetic moment = 0.0 μB per formula unit

a b c (Å): 5.8426 5.8426 4.0329
angles (deg): 90.00 90.00 90.00
Atoms (fractional coordinates):
Te1 0.5000 0.0000 0.0000
Zr1 0.0000 0.0000 0.0000
Hg1 0.5000 0.5000 0.5000
N1 0.0000 0.0000 0.5000
Te2 0.0000 0.5000 0.0000



Referenced to the most stable arrangement, the calculated values in meV/atom are one 993; two 0.



## one
A relaxed ThHgN crystal, computed with PBE-GGA.

Calculated values
V = 135.8 Å³/cell
magnetic moment = 0.0 μB per formula unit

a b c (Å): 4.1226 4.1226 7.9906
angles (deg): 90.00 90.00 90.00
Atoms (fractional coordinates):
Th1 0.0000 0.5000 0.3594
N1 0.5000 0.5000 0.5000
Hg1 0.0000 0.5000 0.9055
Th2 0.5000 0.0000 0.6406
N2 0.0000 0.0000 0.5000
Hg2 0.5000 0.0000 0.0945



## two
A relaxed ThHgN crystal, computed with PBE-GGA.

Calculated values
V = 70.8 Å³/cell
magnetic moment = 0.0 μB per formula unit

a b c (Å): 3.3751 3.3751 6.6615
angles (deg): 104.67 104.67 90.00
Atoms (fractional coordinates):
Hg1 0.0060 0.0060 0.0120
N1 0.2629 0.2629 0.5258
Th1 0.7311 0.7311 0.4622



Referenced to the most stable arrangement, the calculated values in meV/atom are one 0; two 460.



## one
A relaxed Ti2HgN crystal, computed with PBE-GGA.

Calculated values
V = 57.9 Å³/cell
magnetic moment = 0.0 μB per formula unit

a b c (Å): 3.1064 3.1064 7.1614
angles (deg): 77.47 77.47 60.00
Atoms (fractional coordinates):
Ti1 0.2815 0.2815 0.1556
N1 0.0000 0.0000 0.0000
Ti2 0.7185 0.7185 0.8444
Hg1 0.5000 0.5000 0.5000



## two
A relaxed Ti2HgN crystal, computed with PBE-GGA.

Calculated values
V = 60.2 Å³/cell
magnetic moment = 0.0 μB per formula unit

a b c (Å): 4.3989 4.3989 4.3989
angles (deg): 60.00 60.00 60.00
Atoms (fractional coordinates):
Hg1 0.5000 0.5000 0.5000
Ti1 0.7500 0.7500 0.7500
N1 0.0000 0.0000 0.0000
Ti2 0.2500 0.2500 0.2500



Referenced to the most stable arrangement, the calculated values in meV/atom are one 0; two 1597.